(1)
The following is a PBE-GGA calculation of a relaxed Tb2Nd4Al crystal, from Alexandria.

a b c (Å): 3.676 3.676 19.650
angles (deg): 84.63 84.63 60.00
Positions (direct):
Nd  0.907  0.907  0.279
Nd  0.706  0.706  0.882
Nd  0.093  0.093  0.721
Nd  0.294  0.294  0.118
Tb  0.191  0.191  0.427
Tb  0.809  0.809  0.573
Al  0.000  0.000  0.000

## Properties
energy: -32.2 eV for the cell shown
symmetry: R-3m (166)
E_form: -0.013 eV/atom
M_tot: 0.00 Bohr magnetons per cell

(2)
The following is a PBE-GGA calculation of a relaxed TbNd2Al crystal, from Alexandria.

a b c (Å): 3.580 3.580 9.322
angles (deg): 90.00 90.00 90.00
Positions (direct):
Tb  0.500  0.500  0.500
Nd  0.000  0.000  0.216
Nd  0.000  0.000  0.784
Al  0.500  0.500  0.000

## Properties
energy: -18.5 eV for the cell shown
symmetry: P4/mmm (123)
E_form: -0.141 eV/atom
M_tot: 0.00 Bohr magnetons per cell